Compound: Li3VO2F2
Source: Alexandria
Functional: GGA+U
Structure: relaxed

abc: 5.946 5.112 5.121
angles: 71.23 90.00 90.00
Positions (direct):
Li  0.112  0.750  0.500
Li  0.644  0.750  0.500
Li  0.366  0.750  0.000
Li  0.356  0.250  0.500
Li  0.888  0.250  0.500
Li  0.634  0.250  0.000
V  0.890  0.750  0.000
V  0.110  0.250  0.000
O  0.878  0.997  0.234
O  0.878  0.503  0.766
O  0.122  0.497  0.234
O  0.122  0.003  0.766
F  0.625  0.990  0.754
F  0.375  0.490  0.754
F  0.625  0.510  0.246
F  0.375  0.010  0.246

Properties
As for the relative energy among the computed polymorphs: 0.002 eV per atom. As for the crystal system: monoclinic. The volume comes out at 73.7 Å³/f.u.